Compound: Pm3PbSe
Source: the Alexandria database
Functional: GGA-PBE
Structure: relaxed

The space group is P2_1/c (No. 14) and the conventional cell measures 9.4868, 6.8814 and 10.6778 Å, with angles of 90.00, 113.80 and 90.00 degrees. Symmetry generates all atoms from Pm at (0.0530, 0.0877, 0.3352), Pm at (0.2030, 0.5834, 0.5320), Pm at (0.4025, 0.1857, 0.8206), Pb at (0.3584, 0.7030, 0.8490) and Se at (0.0948, 0.2342, 0.6020).

---

Compound: Pm2PbSe
Source: the Alexandria database
Functional: GGA-PBE
Structure: relaxed

The space group is P3m1 (No. 156) and the conventional cell measures 5.1179, 5.1179 and 5.9769 Å, with angles of 90.00, 90.00 and 120.00 degrees. Symmetry generates all atoms from Pm at (0.0000, 0.0000, 0.0000), Pm at (0.3333, 0.6667, 0.4601), Pb at (0.6667, 0.3333, 0.3349) and Se at (0.3333, 0.6667, 0.9361).

---

Compound: Pm2PbSe
Source: the Alexandria database
Functional: GGA-PBE
Structure: relaxed

The space group is R-3m (No. 166, hexagonal axes) and the conventional cell measures 4.3511, 4.3511 and 21.7842 Å, with angles of 90.00, 90.00 and 120.00 degrees. Symmetry generates all atoms from Pm at (0.0000, 0.0000, 0.2454), Pb at (0.0000, 0.0000, 0.0000) and Se at (0.0000, 0.0000, 0.5000).

---

Compound: Pm4PbSe3
Source: the Alexandria database
Functional: GGA-PBE
Structure: relaxed

The space group is Pmmm (No. 47) and the conventional cell measures 4.2830, 6.0766 and 8.6211 Å, with angles of 90.00, 90.00 and 90.00 degrees. Symmetry generates all atoms from Pm at (0.0000, 0.0000, 0.0000), Pm at (0.0000, 0.0000, 0.5000), Pm at (0.5000, 0.5000, 0.2394), Pb at (0.0000, 0.5000, 0.5000), Se at (0.0000, 0.5000, 0.0000) and Se at (0.5000, 0.0000, 0.2466).

---

Compound: Pm8PbSe6
Source: the Alexandria database
Functional: GGA-PBE
Structure: relaxed

The space group is P-3 (No. 147) and the conventional cell measures 10.8573, 10.8573 and 4.2045 Å, with angles of 90.00, 90.00 and 120.00 degrees. Symmetry generates all atoms from Pm at (0.0355, 0.3293, 0.2528), Pm at (0.3333, 0.6667, 0.7485), Pb at (0.0000, 0.0000, 0.5000) and Se at (0.1331, 0.6499, 0.2498).

---

Compound: PmPbSe2
Source: the Alexandria database
Functional: GGA-PBE
Structure: relaxed

The space group is C2/m (No. 12) and the conventional cell measures 7.7187, 4.2913 and 7.3556 Å, with angles of 90.00, 109.05 and 90.00 degrees. Symmetry generates all atoms from Pm at (0.0000, 0.0000, 0.0000), Pb at (0.0000, 0.5000, 0.5000) and Se at (0.2447, 0.5000, 0.2391).

---

Final energy for every record listed, in sequence, given in eV/atom: -5.137 -5.032 -5.348 -5.657 -5.571 -4.941.
Formation energy without anion corrections for every record listed, in sequence, given in meV per atom: -848 -859 -1174 -1512 -1396 -1084.